(1)
Compound: Cr3AgRu
Source: the Alexandria database
Functional: PBE
Structure: relaxed

Cell lengths 4.812, 4.812, 4.812 Å; angles 90.00, 90.00, 90.00 degrees
Space group Pm-3m (No. 221)
One atom of each set of equivalent atoms:
Cr (0.000, 0.000, 0.500) [3 per cell]
Ag (0.000, 0.000, 0.000) [1 per cell]
Ru (0.500, 0.500, 0.500) [1 per cell]

Energy of formation = 2.0359 eV/atom
Total DFT energy (no corrections) = -6.164 eV/atom
Magnetic moment = 10.28 μB per cell


(2)
Compound: CaScMo2
Source: the Alexandria database
Functional: PBE
Structure: relaxed

Cell lengths 3.400, 5.168, 9.754 Å; angles 90.00, 90.00, 90.00 degrees
Space group Imm2 (No. 44)
One atom of each set of equivalent atoms:
Ca (0.000, 0.000, 0.000) [2 per cell]
Sc (0.000, 0.500, 0.787) [2 per cell]
Mo (0.000, 0.000, 0.552) [2 per cell]
Mo (0.000, 0.500, 0.228) [2 per cell]

Energy of formation = 0.3501 eV/atom
Total DFT energy (no corrections) = -7.149 eV/atom
Magnetic moment = 0.00 μB per cell


(3)
Compound: SrAl2As
Source: the Alexandria database
Functional: PBE
Structure: relaxed

Cell lengths 3.870, 4.192, 5.999 Å; angles 90.00, 90.00, 90.00 degrees
Space group Pmm2 (No. 25)
One atom of each set of equivalent atoms:
Sr (0.000, 0.000, 0.000) [1 per cell]
Al (0.000, 0.500, 0.443) [1 per cell]
Al (0.500, 0.000, 0.467) [1 per cell]
As (0.500, 0.500, 0.754) [1 per cell]

Energy of formation = -0.4040 eV/atom
Total DFT energy (no corrections) = -3.858 eV/atom
Magnetic moment = 0.00 μB per cell


(4)
Compound: IrI2O2
Source: the Alexandria database
Functional: PBE
Structure: relaxed

Cell lengths 4.049, 4.049, 6.418 Å; angles 90.00, 90.00, 90.00 degrees
Space group P4/mmm (No. 123)
One atom of each set of equivalent atoms:
Ir (0.000, 0.000, 0.000) [1 per cell]
I (0.000, 0.000, 0.500) [1 per cell]
I (0.500, 0.500, 0.500) [1 per cell]
O (0.000, 0.500, 0.000) [2 per cell]

Total DFT energy (no corrections) = -4.093 eV/atom
Magnetic moment = 0.00 μB per cell


(5)
Compound: CaDyBi2
Source: the Alexandria database
Functional: PBE
Structure: relaxed

Cell lengths 4.6978, 4.6978, 21.5336 Å; angles 90.00, 90.00, 120.00 degrees
Space group R3m (No. 160, hexagonal axes)
One atom of each set of equivalent atoms:
Ca (0.0000, 0.0000, 0.0000) [3 per cell]
Dy (0.0000, 0.0000, 0.1737) [3 per cell]
Bi (0.0000, 0.0000, 0.4219) [3 per cell]
Bi (0.0000, 0.0000, 0.5832) [3 per cell]

Energy of formation = -0.6558 eV/atom
Total DFT energy (no corrections) = -4.247 eV/atom
Magnetic moment = 0.00 μB per cell


(6)
Compound: ErZr2Sc4
Source: the Alexandria database
Functional: PBE
Structure: relaxed

Cell lengths 6.034, 7.698, 8.024 Å; angles 92.11, 99.62, 106.47 degrees
Space group P1 (No. 1)
One atom of each set of equivalent atoms:
Er (0.000, 0.000, 0.000) [1 per cell]
Er (0.462, 0.871, 0.175) [1 per cell]
Zr (0.159, 0.304, 0.697) [1 per cell]
Zr (0.433, 0.298, 0.209) [1 per cell]
Zr (0.675, 0.359, 0.588) [1 per cell]
Zr (0.747, 0.950, 0.591) [1 per cell]
Sc (0.049, 0.463, 0.022) [1 per cell]
Sc (0.114, 0.715, 0.729) [1 per cell]
Sc (0.247, 0.010, 0.474) [1 per cell]
Sc (0.356, 0.589, 0.449) [1 per cell]
Sc (0.532, 0.135, 0.873) [1 per cell]
Sc (0.583, 0.591, 0.891) [1 per cell]
Sc (0.845, 0.649, 0.317) [1 per cell]
Sc (0.917, 0.234, 0.320) [1 per cell]

Energy of formation = 0.0589 eV/atom
Total DFT energy (no corrections) = -6.653 eV/atom
Magnetic moment = 0.00 μB per cell


(7)
Compound: GdPuNiRh
Source: the Alexandria database
Functional: PBE
Structure: relaxed

Cell lengths 6.849, 6.849, 6.849 Å; angles 90.00, 90.00, 90.00 degrees
Space group F-43m (No. 216)
One atom of each set of equivalent atoms:
Gd (0.000, 0.000, 0.000) [4 per cell]
Pu (0.000, 0.000, 0.500) [4 per cell]
Ni (0.250, 0.250, 0.250) [4 per cell]
Rh (0.250, 0.250, 0.750) [4 per cell]

Energy of formation = -0.3657 eV/atom
Total DFT energy (no corrections) = -10.752 eV/atom
Magnetic moment = 6.50 μB per cell


(8)
Compound: MnSeBr2N
Source: the Alexandria database
Functional: PBE
Structure: relaxed

Cell lengths 4.894, 4.894, 4.482 Å; angles 90.00, 90.00, 90.00 degrees
Space group P4/mmm (No. 123)
One atom of each set of equivalent atoms:
Mn (0.000, 0.000, 0.000) [1 per cell]
Se (0.000, 0.000, 0.500) [1 per cell]
Br (0.000, 0.500, 0.000) [2 per cell]
N (0.500, 0.500, 0.500) [1 per cell]

Total DFT energy (no corrections) = -3.398 eV/atom
Magnetic moment = 0.00 μB per cell


(9)
Compound: PaAgSb2
Source: the Alexandria database
Functional: PBE
Structure: relaxed

Cell lengths 3.3177, 3.3177, 32.0723 Å; angles 90.00, 90.00, 120.00 degrees
Space group R-3m (No. 166, hexagonal axes)
One atom of each set of equivalent atoms:
Pa (0.0000, 0.0000, 0.0000) [3 per cell]
Ag (0.0000, 0.0000, 0.5000) [3 per cell]
Sb (0.0000, 0.0000, 0.4149) [6 per cell]

Total DFT energy (no corrections) = -5.190 eV/atom
Magnetic moment = 0.00 μB per cell


(10)
Compound: Ho3CdIn4
Source: the Alexandria database
Functional: PBE
Structure: relaxed

Cell lengths 3.392, 9.949, 12.728 Å; angles 90.00, 90.00, 90.00 degrees
Space group Immm (No. 71)
One atom of each set of equivalent atoms:
Ho (0.000, 0.000, 0.000) [2 per cell]
Ho (0.000, 0.500, 0.223) [4 per cell]
Cd (0.000, 0.000, 0.500) [2 per cell]
In (0.000, 0.256, 0.375) [8 per cell]

Energy of formation = -0.2462 eV/atom
Total DFT energy (no corrections) = -3.446 eV/atom
Magnetic moment = 0.00 μB per cell


(11)
Compound: ScNbPd2
Source: the Alexandria database
Functional: PBE
Structure: relaxed

Cell lengths 2.977, 2.977, 7.730 Å; angles 90.00, 90.00, 90.00 degrees
Space group P4/mmm (No. 123)
One atom of each set of equivalent atoms:
Sc (0.000, 0.000, 0.000) [1 per cell]
Nb (0.000, 0.000, 0.500) [1 per cell]
Pd (0.500, 0.500, 0.248) [2 per cell]

Energy of formation = -0.4961 eV/atom
Total DFT energy (no corrections) = -7.193 eV/atom
Magnetic moment = 0.00 μB per cell


(12)
Compound: MgCr2H
Source: the Alexandria database
Functional: PBE
Structure: relaxed

Cell lengths 6.308, 6.308, 6.308 Å; angles 90.00, 90.00, 90.00 degrees
Space group Fm-3m (No. 225)
One atom of each set of equivalent atoms:
Mg (0.000, 0.000, 0.000) [4 per cell]
Cr (0.250, 0.250, 0.250) [8 per cell]
H (0.000, 0.000, 0.500) [4 per cell]

Total DFT energy (no corrections) = -4.873 eV/atom
Magnetic moment = 33.18 μB per cell


(13)
Compound: Tm2TlTe6Pb3
Source: the Alexandria database
Functional: PBE
Structure: relaxed

Cell lengths 19.718, 4.419, 9.645 Å; angles 90.00, 101.87, 90.00 degrees
Space group C2/m (No. 12)
One atom of each set of equivalent atoms:
Tm (0.169, 0.000, 0.333) [4 per cell]
Tl (0.000, 0.500, 0.000) [2 per cell]
Te (0.013, 0.000, 0.266) [4 per cell]
Te (0.170, 0.500, 0.561) [4 per cell]
Te (0.177, 0.500, 0.114) [4 per cell]
Pb (0.000, 0.500, 0.500) [2 per cell]
Pb (0.159, 0.000, 0.832) [4 per cell]

Total DFT energy (no corrections) = -4.128 eV/atom
Magnetic moment = 0.00 μB per cell


(14)
Compound: MgTl3Se3
Source: the Alexandria database
Functional: PBE
Structure: relaxed

Cell lengths 8.939, 7.815, 12.321 Å; angles 90.00, 97.93, 90.00 degrees
Space group P2_1/c (No. 14)
One atom of each set of equivalent atoms:
Mg (0.171, 0.088, 0.048) [4 per cell]
Tl (0.093, 0.671, 0.124) [4 per cell]
Tl (0.301, 0.246, 0.790) [4 per cell]
Tl (0.409, 0.749, 0.918) [4 per cell]
Se (0.077, 0.567, 0.364) [4 per cell]
Se (0.257, 0.105, 0.513) [4 per cell]
Se (0.385, 0.586, 0.661) [4 per cell]

Total DFT energy (no corrections) = -3.268 eV/atom
Magnetic moment = 0.00 μB per cell


(15)
Compound: KZnAu2
Source: the Alexandria database
Functional: PBE
Structure: relaxed

Cell lengths 7.752, 7.808, 2.860 Å; angles 90.00, 90.00, 90.00 degrees
Space group Cmmm (No. 65)
One atom of each set of equivalent atoms:
K (0.000, 0.000, 0.000) [2 per cell]
Zn (0.000, 0.500, 0.000) [2 per cell]
Au (0.250, 0.250, 0.500) [4 per cell]

Energy of formation = 0.0312 eV/atom
Total DFT energy (no corrections) = -2.200 eV/atom
Magnetic moment = 0.00 μB per cell


(16)
Compound: Pm2Pr8Tm3
Source: the Alexandria database
Functional: PBE
Structure: relaxed

Cell lengths 13.270, 11.985, 6.155 Å; angles 90.00, 112.35, 90.00 degrees
Space group C2/m (No. 12)
One atom of each set of equivalent atoms:
Pm (0.206, 0.000, 0.340) [4 per cell]
Pr (0.058, 0.000, 0.778) [4 per cell]
Pr (0.145, 0.500, 0.077) [4 per cell]
Pr (0.162, 0.251, 0.653) [8 per cell]
Tm (0.000, 0.246, 0.000) [4 per cell]
Tm (0.000, 0.500, 0.500) [2 per cell]

Energy of formation = 0.1632 eV/atom
Total DFT energy (no corrections) = -4.541 eV/atom
Magnetic moment = 0.00 μB per cell


(17)
Compound: CeEr2Sc6
Source: the Alexandria database
Functional: PBE
Structure: relaxed

Cell lengths 9.1171, 9.1171, 3.3020 Å; angles 90.00, 90.00, 120.00 degrees
Space group P-62m (No. 189)
One atom of each set of equivalent atoms:
Ce (0.0000, 0.0000, 0.0000) [1 per cell]
Er (0.3333, 0.6667, 0.5000) [2 per cell]
Sc (0.0000, 0.3558, 0.0000) [3 per cell]
Sc (0.0000, 0.6867, 0.5000) [3 per cell]

Energy of formation = 0.0914 eV/atom
Total DFT energy (no corrections) = -5.803 eV/atom
Magnetic moment = 1.91 μB per cell


(18)
Compound: CaTlFe3
Source: the Alexandria database
Functional: PBE
Structure: relaxed

Cell lengths 4.975, 4.975, 4.975 Å; angles 90.00, 90.00, 90.00 degrees
Space group Pm-3m (No. 221)
One atom of each set of equivalent atoms:
Ca (0.000, 0.000, 0.000) [1 per cell]
Tl (0.500, 0.500, 0.500) [1 per cell]
Fe (0.000, 0.500, 0.500) [3 per cell]

Energy of formation = 1.2196 eV/atom
Total DFT energy (no corrections) = -4.732 eV/atom
Magnetic moment = 8.61 μB per cell


(19)
Compound: Ca6Tl5Pd
Source: the Alexandria database
Functional: PBE
Structure: relaxed

Cell lengths 16.993, 7.767, 5.379 Å; angles 90.00, 108.45, 90.00 degrees
Space group C2/m (No. 12)
One atom of each set of equivalent atoms:
Ca (0.000, 0.231, 0.000) [4 per cell]
Ca (0.158, 0.239, 0.657) [8 per cell]
Tl (0.000, 0.500, 0.500) [2 per cell]
Tl (0.168, 0.500, 0.167) [4 per cell]
Tl (0.175, 0.000, 0.173) [4 per cell]
Pd (0.000, 0.000, 0.500) [2 per cell]

Energy of formation = -0.4578 eV/atom
Total DFT energy (no corrections) = -2.877 eV/atom
Magnetic moment = 0.00 μB per cell


(20)
Compound: Li4Mg3In
Source: the Alexandria database
Functional: PBE
Structure: relaxed

Cell lengths 5.354, 7.537, 8.615 Å; angles 90.00, 90.00, 90.00 degrees
Space group Imm2 (No. 44)
One atom of each set of equivalent atoms:
Li (0.000, 0.176, 0.000) [4 per cell]
Li (0.247, 0.500, 0.057) [4 per cell]
Mg (0.000, 0.303, 0.692) [4 per cell]
Mg (0.000, 0.500, 0.354) [2 per cell]
In (0.000, 0.000, 0.288) [2 per cell]

Energy of formation = 0.0643 eV/atom
Total DFT energy (no corrections) = -1.833 eV/atom
Magnetic moment = 0.00 μB per cell


(21)
Compound: NbSeN
Source: the Alexandria database
Functional: PBE
Structure: relaxed

Cell lengths 3.679, 3.679, 6.351 Å; angles 90.00, 90.00, 90.00 degrees
Space group P4/nmm (No. 129, origin choice 2)
One atom of each set of equivalent atoms:
Nb (0.250, 0.250, 0.172) [2 per cell]
Se (0.250, 0.250, 0.619) [2 per cell]
N (0.250, 0.750, 0.000) [2 per cell]

Total DFT energy (no corrections) = -7.901 eV/atom
Magnetic moment = 0.00 μB per cell


(22)
Compound: AlCrCd3
Source: the Alexandria database
Functional: PBE
Structure: relaxed

Cell lengths 5.267, 5.267, 5.267 Å; angles 90.00, 90.00, 90.00 degrees
Space group Pm-3m (No. 221)
One atom of each set of equivalent atoms:
Al (0.000, 0.000, 0.000) [1 per cell]
Cr (0.500, 0.500, 0.500) [1 per cell]
Cd (0.000, 0.500, 0.500) [3 per cell]

Energy of formation = 0.7912 eV/atom
Total DFT energy (no corrections) = -2.431 eV/atom
Magnetic moment = 4.33 μB per cell


(23)
Compound: Ac8Y2Tm
Source: the Alexandria database
Functional: PBE
Structure: relaxed

Cell lengths 19.610, 5.526, 8.661 Å; angles 90.00, 105.42, 90.00 degrees
Space group C2/m (No. 12)
One atom of each set of equivalent atoms:
Ac (0.047, 0.000, 0.230) [4 per cell]
Ac (0.094, 0.500, 0.952) [4 per cell]
Ac (0.138, 0.000, 0.689) [4 per cell]
Ac (0.181, 0.500, 0.415) [4 per cell]
Y (0.226, 0.000, 0.132) [4 per cell]
Tm (0.000, 0.500, 0.500) [2 per cell]

Energy of formation = 0.0498 eV/atom
Total DFT energy (no corrections) = -4.520 eV/atom
Magnetic moment = 0.00 μB per cell


(24)
Compound: NiOsBr2
Source: the Alexandria database
Functional: PBE
Structure: relaxed

Cell lengths 6.248, 8.038, 3.030 Å; angles 90.00, 90.15, 90.00 degrees
Space group C2/m (No. 12)
One atom of each set of equivalent atoms:
Ni (0.000, 0.000, 0.000) [2 per cell]
Os (0.000, 0.500, 0.000) [2 per cell]
Br (0.250, 0.250, 0.000) [4 per cell]

Total DFT energy (no corrections) = -3.991 eV/atom
Magnetic moment = 2.20 μB per cell


(25)
Compound: InNiSn2
Source: the Alexandria database
Functional: PBE
Structure: relaxed

Cell lengths 4.2835, 4.2835, 17.9749 Å; angles 90.00, 90.00, 120.00 degrees
Space group R3m (No. 160, hexagonal axes)
One atom of each set of equivalent atoms:
In (0.0000, 0.0000, 0.0000) [3 per cell]
Ni (0.0000, 0.0000, 0.8459) [3 per cell]
Sn (0.0000, 0.0000, 0.2227) [3 per cell]
Sn (0.0000, 0.0000, 0.4438) [3 per cell]

Energy of formation = -0.0252 eV/atom
Total DFT energy (no corrections) = -4.157 eV/atom
Magnetic moment = 0.00 μB per cell